A plane-wave DFT calculation with PBE-GGA was carried out for Na3FeAs after structural relaxation.

The space group is Pm-3m (No. 221) and the conventional cell measures 5.3869, 5.3869 and 5.3869 Å, with angles of 90.00, 90.00 and 90.00 degrees. Symmetry generates all atoms from Na at (0.0000, 0.0000, 0.5000), Fe at (0.0000, 0.0000, 0.0000) and As at (0.5000, 0.5000, 0.5000).

The density of states at the Fermi level is 7.35 states/eV/cell. As for the total magnetic moment: 4.0 μB per formula unit. The crystal system is cubic. The formation enthalpy at 0 K comes out at 4.4 eV per formula unit.